MgTiO2 | the Alexandria database | GGA-PBE | relaxed; raw formation energy = -2.28 eV per atom; DOS(E_F) = 0.68 states/eV per cell; space-group type = No. 166; volume = 12.0 A^3/atom
1.0
1.5383 0.8881 5.8639
-1.5383 0.8881 5.8639
0.0000 -1.7763 5.8639
Mg Ti O
1 1 2
Direct
0.0000 0.0000 0.0000
0.5000 0.5000 0.5000
0.3955 0.3955 0.3955
0.6045 0.6045 0.6045